Record 1
Material: BeFe2Te
Method: DFT, GGA-PBE
State: relaxed

Computed properties:
The value obtained for the polymorph energy (0 for the lowest one) is 84 meV per atom. The value obtained for the final energy is -22.5 eV/cell. As for the uncorrected formation energy: 128 kJ/mol of formula units. Its density of states at the Fermi level is 2.5 states/eV/cell. The value obtained for the magnetization is 3.965 μB/f.u.

Cell lengths 4.279, 4.279, 4.409 Å; angles 79.93, 79.93, 44.57 degrees
Last column: magnetic moment on the atom in μB.
Fractional positions:
1 Fe 0.497 0.497 0.552  2.06
2 Te 0.250 0.250 0.250  -0.03
3 Be 0.750 0.750 0.750  -0.08
4 Fe 0.003 0.003 0.948  2.06

=====

Record 2
Material: Be3FeTe
Method: DFT, GGA-PBE
State: relaxed

Computed properties:
The value obtained for the polymorph energy (0 for the lowest one) is 923 meV per atom. The value obtained for the final energy is -14.2 eV/cell. As for the uncorrected formation energy: 826 kJ/mol of formula units. Its density of states at the Fermi level is 7.0 states/eV/cell. The value obtained for the magnetization is 3.169 μB/f.u.

Cell lengths 4.607, 4.607, 4.607 Å; angles 90.00, 90.00, 90.00 degrees
Last column: magnetic moment on the atom in μB.
Fractional positions:
1 Fe 0.500 0.500 0.500  3.25
2 Be 0.000 0.500 0.000  -0.04
3 Be 0.000 0.000 0.500  -0.03
4 Be 0.500 0.000 0.000  -0.02
5 Te 0.000 0.000 0.000  0.01